# 1
DFT (PBE) results for a relaxed GdMg6Sc crystal.

Properties
The volume is 23.50 Å³ per atom. The value obtained for the calculated total energy is -20.72 eV per formula unit. The total magnetization comes out at 0.02 μB per formula unit.

Cell lengths 5.0948, 5.0948, 7.2418 Å; angles 90.00, 90.00, 90.00 degrees
Space group P4/mmm (No. 123)
Asymmetric unit:
Gd 0.0000 0.0000 0.0000 x1
Mg 0.0000 0.0000 0.5000 x1
Mg 0.0000 0.5000 0.2614 x4
Mg 0.5000 0.5000 0.0000 x1
Sc 0.5000 0.5000 0.5000 x1

***

# 2
DFT (PBE) results for a relaxed NiPb2S5 crystal.

Properties
The volume is 25.46 Å³ per atom. The value obtained for the calculated total energy is -34.11 eV per formula unit. The total magnetization comes out at 0.00 μB per formula unit.

Cell lengths 3.9060, 11.3135, 18.4399 Å; angles 90.00, 90.00, 90.00 degrees
Space group Cmcm (No. 63)
Asymmetric unit:
Ni 0.0000 0.1299 0.2500 x4
Pb 0.0000 0.2831 0.5870 x8
S 0.0000 0.0690 0.1404 x8
S 0.0000 0.2811 0.7500 x4
S 0.0000 0.3767 0.0497 x8

***

# 3
DFT (PBE) results for a relaxed CsLuNbTe3 crystal.

Properties
The volume is 37.20 Å³ per atom. The value obtained for the calculated total energy is -30.30 eV per formula unit. The total magnetization comes out at 0.00 μB per formula unit. The calculation puts the polymorph energy (0 for the lowest one) at 0.00 kcal/mol of atoms.

Cell lengths 10.1443, 4.1904, 11.6547 Å; angles 90.00, 115.71, 90.00 degrees
Space group P2_1/m (No. 11)
Asymmetric unit:
Cs 0.2475 0.2500 0.2198 x2
Lu 0.1717 0.7500 0.6426 x2
Nb 0.4359 0.2500 0.9120 x2
Te 0.0427 0.7500 0.3603 x2
Te 0.2585 0.7500 0.9418 x2
Te 0.3999 0.2500 0.6618 x2

***

# 4
DFT (PBE) results for a relaxed ErNpZn crystal.

Properties
Its formation energy is 516 meV per atom. The volume is 27.63 Å³ per atom. The value obtained for the calculated total energy is -17.05 eV per formula unit. The total magnetization comes out at 5.18 μB per formula unit. The calculation puts the polymorph energy (0 for the lowest one) at 0.00 kcal/mol of atoms.

Cell lengths 6.9216, 6.9216, 6.9216 Å; angles 90.00, 90.00, 90.00 degrees
Space group F-43m (No. 216)
Asymmetric unit:
Er 0.0000 0.0000 0.0000 x4
Np 0.0000 0.0000 0.5000 x4
Zn 0.2500 0.2500 0.2500 x4

***

# 5
DFT (PBE) results for a relaxed Li7Cu crystal.

Properties
The volume is 16.19 Å³ per atom. The value obtained for the calculated total energy is -16.97 eV per formula unit.

Cell lengths 6.0522, 6.0759, 8.2463 Å; angles 111.56, 111.50, 90.08 degrees
Space group P-1 (No. 2)
Asymmetric unit:
Li 0.0234 0.0232 0.3303 x2
Li 0.0412 0.5748 0.3646 x2
Li 0.1965 0.1968 0.1097 x2
Li 0.2087 0.6632 0.1171 x2
Li 0.3364 0.7906 0.8831 x2
Li 0.4087 0.4083 0.5980 x2
Li 0.4262 0.9598 0.6365 x2
Cu 0.3339 0.3346 0.8784 x2

***

# 6
DFT (PBE) results for a relaxed Hf3As2Pt2 crystal.

Properties
The volume is 20.23 Å³ per atom. The value obtained for the calculated total energy is -55.91 eV per formula unit. The total magnetization comes out at 0.01 μB per formula unit.

Cell lengths 4.6574, 4.6574, 22.6199 Å; angles 90.00, 90.00, 120.00 degrees
Space group R3m (No. 160, hexagonal axes)
Asymmetric unit:
Hf 0.0000 0.0000 0.0000 x3
Hf 0.0000 0.0000 0.2325 x3
Hf 0.0000 0.0000 0.4776 x3
As 0.0000 0.0000 0.1174 x3
As 0.0000 0.0000 0.6115 x3
Pt 0.0000 0.0000 0.3553 x3
Pt 0.0000 0.0000 0.8802 x3